Density functional theory data (PBE) for a relaxed Sn5TeSe5 crystal.

volume = 29.3 Å³/atom
energy relative to the elements, uncorrected = -0.340 eV/atom
total magnetic moment = 0.00 Bohr magnetons per cell
space-group type = C2/m, No. 12

Lattice parameters (Å, degrees): 7.2434 7.2434 8.5653 106.61 106.61 49.03
Last column: nearest neighbours and their distance in Å.
Atoms (fractional coordinates):
Sn (0.0000, 0.0000, 0.0000)  4 Se 2.95, 2 Te 3.01
Sn (0.3280, 0.3280, 0.1800)  5 Se 2.82-3.02, 1 Te 3.12
Sn (0.3336, 0.3336, 0.6492)  5 Se 2.86-3.12, 1 Te 3.11
Sn (0.6664, 0.6664, 0.3508)  5 Se 2.86-3.12, 1 Te 3.11
Sn (0.6720, 0.6720, 0.8200)  5 Se 2.82-3.02, 1 Te 3.12
Te (0.5000, 0.5000, 0.0000)  6 Sn 3.01-3.12
Se (0.1640, 0.1640, 0.3263)  5 Sn 2.82-3.01
Se (0.1742, 0.1742, 0.8521)  5 Sn 2.90-3.12
Se (0.5000, 0.5000, 0.5000)  4 Sn 2.86-2.96
Se (0.8258, 0.8258, 0.1479)  5 Sn 2.90-3.12
Se (0.8360, 0.8360, 0.6737)  5 Sn 2.82-3.01

Density functional theory data (PBE) for a relaxed Sn2TeSe2 crystal.

volume = 28.9 Å³/atom
energy relative to the elements, uncorrected = -0.162 eV/atom
total magnetic moment = 0.00 Bohr magnetons per cell
space-group type = I4/mmm, No. 139

Lattice parameters (Å, degrees): 5.7027 5.7027 8.8852 90.00 90.00 90.00
Last column: nearest neighbours and their distance in Å.
Atoms (fractional coordinates):
Sn (0.0000, 0.5000, 0.2500)  4 Se 3.01
Sn (0.0000, 0.5000, 0.7500)  4 Se 3.01
Sn (0.5000, 0.0000, 0.2500)  4 Se 3.01
Sn (0.5000, 0.0000, 0.7500)  4 Se 3.01
Te (0.0000, 0.0000, 0.0000)  2 Se 3.18
Te (0.5000, 0.5000, 0.5000)  2 Se 3.18
Se (0.0000, 0.0000, 0.3581)  1 Se 2.52
Se (0.0000, 0.0000, 0.6419)  1 Se 2.52
Se (0.5000, 0.5000, 0.1419)  1 Se 2.52
Se (0.5000, 0.5000, 0.8581)  1 Se 2.52

Density functional theory data (PBE) for a relaxed Sn5TeSe4 crystal.

volume = 28.7 Å³/atom
energy relative to the elements, uncorrected = -0.399 eV/atom
total magnetic moment = 0.00 Bohr magnetons per cell
relative energy among the computed polymorphs = 0.0 meV per atom
space-group type = C2/m, No. 12

Lattice parameters (Å, degrees): 7.4960 7.4960 10.6095 118.11 118.11 33.58
Last column: nearest neighbours and their distance in Å.
Atoms (fractional coordinates):
Sn (0.0000, 0.0000, 0.0000)  6 Se 3.05
Sn (0.2042, 0.2042, 0.8086)  5 Se 3.01-3.07, 1 Te 3.14
Sn (0.3951, 0.3951, 0.6086)  4 Se 2.98-3.11, 2 Te 3.16
Sn (0.6049, 0.6049, 0.3914)  4 Se 2.98-3.11, 2 Te 3.16
Sn (0.7958, 0.7958, 0.1914)  5 Se 3.01-3.07, 1 Te 3.14
Te (0.0000, 0.0000, 0.5000)  6 Sn 3.14-3.16
Se (0.2033, 0.2033, 0.2940)  6 Sn 3.01-3.11
Se (0.4055, 0.4055, 0.1055)  6 Sn 2.98-3.07
Se (0.5945, 0.5945, 0.8945)  6 Sn 2.98-3.07
Se (0.7967, 0.7967, 0.7060)  6 Sn 3.01-3.11

Density functional theory data (PBE) for a relaxed Sn4TeSe3 crystal.

volume = 29.5 Å³/atom
energy relative to the elements, uncorrected = -0.383 eV/atom
total magnetic moment = 0.00 Bohr magnetons per cell
relative energy among the computed polymorphs = 6.6 meV per atom
space-group type = Pm, No. 6

Lattice parameters (Å, degrees): 4.6616 4.2666 11.8536 90.00 90.06 90.00
Last column: nearest neighbours and their distance in Å.
Atoms (fractional coordinates):
Sn (0.0000, 0.0000, 0.0000)  3 Se 2.80-2.83
Sn (0.1975, 0.5000, 0.7500)  1 Se 2.78, 2 Te 2.99
Sn (0.5072, 0.5000, 0.2553)  3 Se 2.77-2.83
Sn (0.7606, 0.0000, 0.4824)  2 Se 2.83, 1 Te 3.02
Te (0.6448, 0.0000, 0.7327)  3 Sn 2.99-3.02
Se (0.1123, 0.0000, 0.2325)  3 Sn 2.80-2.83
Se (0.1488, 0.5000, 0.5163)  3 Sn 2.78-2.83
Se (0.6060, 0.5000, 0.0249)  3 Sn 2.77-2.83

Density functional theory data (PBE) for a relaxed Sn2TeSe2 crystal.

volume = 31.9 Å³/atom
energy relative to the elements, uncorrected = -0.264 eV/atom
total magnetic moment = 0.00 Bohr magnetons per cell
space-group type = Immm, No. 71

Lattice parameters (Å, degrees): 4.1777 5.8252 13.0886 90.00 90.00 90.00
Last column: nearest neighbours and their distance in Å.
Atoms (fractional coordinates):
Sn (0.0000, 0.0000, 0.1658)  4 Se 2.80-2.93, 2 Te 3.01
Sn (0.0000, 0.0000, 0.8342)  4 Se 2.80-2.93, 2 Te 3.01
Sn (0.5000, 0.5000, 0.3342)  4 Se 2.80-2.93, 2 Te 3.01
Sn (0.5000, 0.5000, 0.6658)  4 Se 2.80-2.93, 2 Te 3.01
Te (0.0000, 0.5000, 0.5000)  4 Sn 3.01
Te (0.5000, 0.0000, 0.0000)  4 Sn 3.01
Se (0.0000, 0.5000, 0.1914)  4 Sn 2.80-2.93
Se (0.0000, 0.5000, 0.8086)  4 Sn 2.80-2.93
Se (0.5000, 0.0000, 0.3086)  4 Sn 2.80-2.93
Se (0.5000, 0.0000, 0.6914)  4 Sn 2.80-2.93

Density functional theory data (PBE) for a relaxed Sn3Te5Se12 crystal.

volume = 31.7 Å³/atom
energy relative to the elements, uncorrected = 0.055 eV/atom
total magnetic moment = 0.00 Bohr magnetons per cell
space-group type = Ia-3d, No. 230

Lattice parameters (Å, degrees): 14.8767 14.8767 14.8767 109.47 109.47 109.47
Last column: nearest neighbours and their distance in Å.
Atoms (fractional coordinates):
Sn (0.1250, 0.2500, 0.3750)  8 Se 3.18-3.21
Sn (0.1250, 0.3750, 0.7500)  8 Se 3.18-3.21
Sn (0.2500, 0.3750, 0.1250)  8 Se 3.18-3.21
Sn (0.2500, 0.8750, 0.6250)  8 Se 3.18-3.21
Sn (0.3750, 0.1250, 0.2500)  8 Se 3.18-3.21
Sn (0.3750, 0.7500, 0.1250)  8 Se 3.18-3.21
Sn (0.6250, 0.2500, 0.8750)  8 Se 3.18-3.21
Sn (0.6250, 0.8750, 0.7500)  8 Se 3.18-3.21
Sn (0.7500, 0.1250, 0.3750)  8 Se 3.18-3.21
Sn (0.7500, 0.6250, 0.8750)  8 Se 3.18-3.21
Sn (0.8750, 0.6250, 0.2500)  8 Se 3.18-3.21
Sn (0.8750, 0.7500, 0.6250)  8 Se 3.18-3.21
Te (0.0000, 0.0000, 0.0000)  6 Se 2.86
Te (0.0000, 0.0000, 0.5000)  6 Se 2.86
Te (0.0000, 0.5000, 0.0000)  6 Se 2.86
Te (0.0000, 0.5000, 0.5000)  6 Se 2.86
Te (0.1250, 0.7500, 0.8750)  4 Se 2.75
Te (0.1250, 0.8750, 0.2500)  4 Se 2.75
Te (0.2500, 0.1250, 0.8750)  4 Se 2.75
Te (0.2500, 0.6250, 0.3750)  4 Se 2.75
Te (0.3750, 0.2500, 0.6250)  4 Se 2.75
Te (0.3750, 0.6250, 0.7500)  4 Se 2.75
Te (0.5000, 0.0000, 0.0000)  6 Se 2.86
Te (0.5000, 0.0000, 0.5000)  6 Se 2.86
Te (0.5000, 0.5000, 0.0000)  6 Se 2.86
Te (0.5000, 0.5000, 0.5000)  6 Se 2.86
Te (0.6250, 0.3750, 0.2500)  4 Se 2.75
Te (0.6250, 0.7500, 0.3750)  4 Se 2.75
Te (0.7500, 0.3750, 0.6250)  4 Se 2.75
Te (0.7500, 0.8750, 0.1250)  4 Se 2.75
Te (0.8750, 0.1250, 0.7500)  4 Se 2.75
Te (0.8750, 0.2500, 0.1250)  4 Se 2.75
Se (0.0489, 0.2177, 0.1345)  2 Te 2.75-2.86
Se (0.0489, 0.3312, 0.9144)  2 Te 2.75-2.86
Se (0.0832, 0.7177, 0.6688)  2 Te 2.75-2.86
Se (0.0832, 0.8655, 0.4144)  2 Te 2.75-2.86
Se (0.0856, 0.6345, 0.4168)  2 Te 2.75-2.86
Se (0.0856, 0.9511, 0.6688)  2 Te 2.75-2.86
Se (0.1345, 0.0489, 0.2177)  2 Te 2.75-2.86
Se (0.1345, 0.5856, 0.9168)  2 Te 2.75-2.86
Se (0.1688, 0.2177, 0.5832)  2 Te 2.75-2.86
Se (0.1688, 0.4511, 0.5856)  2 Te 2.75-2.86
Se (0.2177, 0.1345, 0.0489)  2 Te 2.75-2.86
Se (0.2177, 0.5832, 0.1688)  2 Te 2.75-2.86
Se (0.2823, 0.3312, 0.9168)  2 Te 2.75-2.86
Se (0.2823, 0.4511, 0.3655)  2 Te 2.75-2.86
Se (0.3312, 0.9144, 0.0489)  2 Te 2.75-2.86
Se (0.3312, 0.9168, 0.2823)  2 Te 2.75-2.86
Se (0.3655, 0.2823, 0.4511)  2 Te 2.75-2.86
Se (0.3655, 0.5832, 0.9144)  2 Te 2.75-2.86
Se (0.4144, 0.0832, 0.8655)  2 Te 2.75-2.86
Se (0.4144, 0.8312, 0.5489)  2 Te 2.75-2.86
Se (0.4168, 0.0856, 0.6345)  2 Te 2.75-2.86
Se (0.4168, 0.8312, 0.7823)  2 Te 2.75-2.86
Se (0.4511, 0.3655, 0.2823)  2 Te 2.75-2.86
Se (0.4511, 0.5856, 0.1688)  2 Te 2.75-2.86
Se (0.5489, 0.4144, 0.8312)  2 Te 2.75-2.86
Se (0.5489, 0.6345, 0.7177)  2 Te 2.75-2.86
Se (0.5832, 0.1688, 0.2177)  2 Te 2.75-2.86
Se (0.5832, 0.9144, 0.3655)  2 Te 2.75-2.86
Se (0.5856, 0.1688, 0.4511)  2 Te 2.75-2.86
Se (0.5856, 0.9168, 0.1345)  2 Te 2.75-2.86
Se (0.6345, 0.4168, 0.0856)  2 Te 2.75-2.86
Se (0.6345, 0.7177, 0.5489)  2 Te 2.75-2.86
Se (0.6688, 0.0832, 0.7177)  2 Te 2.75-2.86
Se (0.6688, 0.0856, 0.9511)  2 Te 2.75-2.86
Se (0.7177, 0.5489, 0.6345)  2 Te 2.75-2.86
Se (0.7177, 0.6688, 0.0832)  2 Te 2.75-2.86
Se (0.7823, 0.4168, 0.8312)  2 Te 2.75-2.86
Se (0.7823, 0.8655, 0.9511)  2 Te 2.75-2.86
Se (0.8312, 0.5489, 0.4144)  2 Te 2.75-2.86
Se (0.8312, 0.7823, 0.4168)  2 Te 2.75-2.86
Se (0.8655, 0.4144, 0.0832)  2 Te 2.75-2.86
Se (0.8655, 0.9511, 0.7823)  2 Te 2.75-2.86
Se (0.9144, 0.0489, 0.3312)  2 Te 2.75-2.86
Se (0.9144, 0.3655, 0.5832)  2 Te 2.75-2.86
Se (0.9168, 0.1345, 0.5856)  2 Te 2.75-2.86
Se (0.9168, 0.2823, 0.3312)  2 Te 2.75-2.86
Se (0.9511, 0.6688, 0.0856)  2 Te 2.75-2.86
Se (0.9511, 0.7823, 0.8655)  2 Te 2.75-2.86